Record 1
VASP calculation (PBE-GGA) on crystalline BeAsSe2 at its relaxed geometry.

Computed properties:
Calculated total energy: -3.651 eV/atom
Excess energy over the best structure of this formula in the dataset: 1.20 eV per formula unit
ΔE_f (raw): 0.185 eV per atom
Total magnetic moment: 0.001 μB/cell

a = 4.169 Å, b = 4.169 Å, c = 6.972 Å
α = 90.00°, β = 90.00°, γ = 130.55°
Sites, in units of the cell vectors:
Be: 0.500 0.500 0.750
As: 0.500 0.500 0.250
Se: 0.000 0.000 0.969
Se: 0.000 0.000 0.531


Record 2
VASP calculation (PBE-GGA) on crystalline MnCu2Pd at its relaxed geometry.

Computed properties:
Calculated total energy: -5.673 eV/atom
Total magnetic moment: 3.991 μB/cell

a = 4.245 Å, b = 4.245 Å, c = 4.245 Å
α = 60.00°, β = 60.00°, γ = 60.00°
Site moments in Bohr magnetons follow the coordinates.
Sites, in units of the cell vectors:
Mn: 0.000 0.000 0.000  3.72
Cu: 0.250 0.250 0.250  0.10
Cu: 0.750 0.750 0.750  0.10
Pd: 0.500 0.500 0.500  0.02


Record 3
VASP calculation (PBE-GGA) on crystalline Ho6In2Tc at its relaxed geometry.

Computed properties:
Calculated total energy: -5.091 eV/atom
Total magnetic moment: 0.000 μB/cell

a = 3.882 Å, b = 8.548 Å, c = 8.548 Å
α = 120.00°, β = 90.00°, γ = 90.00°
Sites, in units of the cell vectors:
Ho: 0.500 0.614 0.000
Ho: 0.500 0.385 0.385
Ho: 0.500 0.000 0.615
Ho: 0.000 0.243 0.000
Ho: 0.000 0.757 0.758
Ho: 0.000 0.000 0.242
In: 0.000 0.333 0.666
In: 0.000 0.667 0.334
Tc: 0.500 0.000 0.000


Record 4
VASP calculation (PBE-GGA) on crystalline BaTiInSb2 at its relaxed geometry.

Computed properties:
Calculated total energy: -4.590 eV/atom
ΔE_f (raw): -0.430 eV per atom
Total magnetic moment: 0.000 μB/cell

a = 5.393 Å, b = 5.393 Å, c = 5.373 Å
α = 90.00°, β = 90.00°, γ = 90.00°
Sites, in units of the cell vectors:
Sb: 0.000 0.500 0.000
Sb: 0.500 0.000 0.000
Ti: 0.000 0.000 0.000
Ba: 0.500 0.500 0.500
In: 0.000 0.000 0.500